# PBE Ca4AgRu, optimized geometry
data_Ca4AgRu
_space_group_name_H-M_alt 'C 1 2/c 1'
_space_group_IT_number 15
_cell_length_a 9.328
_cell_length_b 13.715
_cell_length_c 6.457
_cell_angle_alpha 90.00
_cell_angle_beta 121.10
_cell_angle_gamma 90.00
loop_
_space_group_symop_operation_xyz
'x,y,z'
'-x,-y,-z'
'-x,y,-z+1/2'
'x,-y,z+1/2'
'x+1/2,y+1/2,z'
'-x+1/2,-y+1/2,-z'
'-x+1/2,y+1/2,-z+1/2'
'x+1/2,-y+1/2,z+1/2'
loop_
_atom_site_label
_atom_site_type_symbol
_atom_site_fract_x
_atom_site_fract_y
_atom_site_fract_z
_atom_site_occupancy
Ca1 Ca 0.115 0.169 0.086 1
Ca2 Ca 0.215 0.438 0.293 1
Ag1 Ag 0.000 0.363 0.750 1
Ru1 Ru 0.000 0.002 0.250 1
# Crystal system   monoclinic
# Energy of formation   -88.9 meV/atom
# Electronic total energy   -20.67 eV/f.u.

***

# PBE CaAgRu2, optimized geometry
data_CaAgRu2
_space_group_name_H-M_alt 'C 1 m 1'
_space_group_IT_number 8
_cell_length_a 8.854
_cell_length_b 2.925
_cell_length_c 5.724
_cell_angle_alpha 90.00
_cell_angle_beta 97.97
_cell_angle_gamma 90.00
loop_
_space_group_symop_operation_xyz
'x,y,z'
'x,-y,z'
'x+1/2,y+1/2,z'
'x+1/2,-y+1/2,z'
loop_
_atom_site_label
_atom_site_type_symbol
_atom_site_fract_x
_atom_site_fract_y
_atom_site_fract_z
_atom_site_occupancy
Ca1 Ca 0.000 0.000 0.000 1
Ag1 Ag 0.239 0.000 0.728 1
Ru1 Ru 0.257 0.500 0.319 1
Ru2 Ru 0.493 0.000 0.454 1
# Crystal system   monoclinic
# Energy of formation   371.4 meV/atom
# Electronic total energy   -21.92 eV/f.u.

***

no.,total moment (μB per formula unit)
1,0.00
2,0.00